1.
AlHg4Mo | PBE-GGA | relaxed

abc: 8.215 8.215 8.215
angles: 90.00 90.00 90.00
Space group F-43m (No. 216)
Inequivalent atoms, fractional coordinates:
Al (0.000, 0.000, 0.000) x4
Hg (0.125, 0.125, 0.625) x16
Mo (0.250, 0.250, 0.250) x4

Values from the calculation:
Calculated density ... 11.09 Mg/m³
Formation enthalpy at 0 K ... 0.797 eV/atom

=====

2.
AlHg3Mo | PBE-GGA | relaxed

abc: 5.378 5.378 5.378
angles: 90.00 90.00 90.00
Space group Pm-3m (No. 221)
Inequivalent atoms, fractional coordinates:
Al (0.000, 0.000, 0.000) x1
Hg (0.000, 0.500, 0.500) x3
Mo (0.500, 0.500, 0.500) x1

Values from the calculation:
Calculated density ... 7.74 Mg/m³
Formation enthalpy at 0 K ... 1.005 eV/atom
Energy relative to the lowest polymorph listed for this composition ... 0 meV/atom